# ZrVRh2

A relaxed ZrVRh2 crystal (PBE-GGA, the Alexandria database).

Geometry as CIF:
```
data_ZrVRh2
_cell_length_a 2.9466
_cell_length_b 2.9466
_cell_length_c 7.2611
_cell_angle_alpha 90.00
_cell_angle_beta 90.00
_cell_angle_gamma 90.00
_space_group_name_H-M_alt 'P 1'
_space_group_IT_number 1
loop_
_space_group_symop_operation_xyz
'x,y,z'
loop_
_atom_site_label
_atom_site_type_symbol
_atom_site_fract_x
_atom_site_fract_y
_atom_site_fract_z
_atom_site_occupancy
Rh1 Rh 0.0000 0.0000 0.7122 1
Rh2 Rh 0.0000 0.0000 0.2878 1
Zr1 Zr 0.5000 0.5000 0.0000 1
V1 V 0.5000 0.5000 0.5000 1
```

## Properties
M_tot ... 0.24 μB per cell
ΔH_f (0 K) ... -0.508 eV/atom
Crystal system ... tetragonal


# KSi2Pd

A relaxed KSi2Pd crystal (PBE-GGA, the Alexandria database).

Geometry as CIF:
```
data_KSi2Pd
_cell_length_a 5.0163
_cell_length_b 5.0163
_cell_length_c 8.8549
_cell_angle_alpha 73.55
_cell_angle_beta 73.55
_cell_angle_gamma 90.00
_space_group_name_H-M_alt 'P 1'
_space_group_IT_number 1
loop_
_space_group_symop_operation_xyz
'x,y,z'
loop_
_atom_site_label
_atom_site_type_symbol
_atom_site_fract_x
_atom_site_fract_y
_atom_site_fract_z
_atom_site_occupancy
K1 K 0.5000 0.5000 0.0000 1
K2 K 0.2500 0.7500 0.5000 1
Si1 Si 0.8750 0.1250 0.2500 1
Si2 Si 0.8750 0.6250 0.2500 1
Si3 Si 0.3750 0.1250 0.7500 1
Si4 Si 0.8750 0.1250 0.7500 1
Pd1 Pd 0.0000 0.0000 0.0000 1
Pd2 Pd 0.7500 0.2500 0.5000 1
```

## Properties
M_tot ... 0.00 μB per cell
Formation energy without anion corrections ... -15 meV per atom
Crystal system ... tetragonal


| no. | energy above the most stable polymorph in this dataset (eV/atom) |
| --- | --- |
| 1 | 0.000 |
| 2 | 0.000 |